TaFeW2 | PBE | optimized geometry

Geometry as POSCAR:
```
TaFeW2
1.0
-7.938 -1.434 -4.558
-7.270 -4.117 -4.004
-8.651 -2.582 -2.083
Fe Ta W
1 1 2
Cartesian
-5.965 -2.033 -2.661
-17.895 -6.100 -7.984
-23.661 -8.066 -10.557
-12.128 -4.134 -5.411
```

Summary:
Its energy of formation is 0.36 eV per atom. Its magnetization is 0.3059 μB per atom. The calculation puts the volume at 15.71 Å³/atom. For the energy above the most stable polymorph in this dataset, the calculation gives 347.1 meV/atom. The calculation puts the total energy at -44.79 eV per formula unit.